{
  "formula": "ZrMn2Os",
  "functional": "PBE",
  "state": "optimized geometry",
  "cell": [[3.179, 0.000, 0.000], [0.000, 3.179, 0.000], [0.000, 0.000, 6.102]],
  "species": ["Mn", "Mn", "Os", "Zr"],
  "fractional_positions": [[0.000, 0.000, 0.033], [0.500, 0.500, 0.240], [0.000, 0.000, 0.479], [0.500, 0.500, 0.748]],
  "e_above_lowest_polymorph_ev_per_atom": 0.001,
  "formation_enthalpy_0k_mev_per_atom": -5,
  "mass_density_g_cm3": 10.54,
  "n_ef_per_ev_cell": 2.7,
  "dft_energy_ev_per_atom": -9.53
}